--- one ---
# ScSbSCl2

A relaxed structure of ScSbSCl2 (PBE, Alexandria).

Cell and atoms, written as extended XYZ:
```
5
Lattice="4.9221 0.0000 0.0000 0.0000 4.9221 0.0000 0.0000 0.0000 5.2456" Properties=species:S:1:pos:R:3 pbc="T T T"
Sc 0.0000 0.0000 0.0000
Sb 2.4610 2.4610 2.6228
S 0.0000 0.0000 2.6228
Cl 0.0000 2.4610 0.0000
Cl 2.4610 0.0000 0.0000
```

Results
- N(E_F) (states/eV/cell) = 1.69
- space-group type = P4/mmm (123)

=====

--- two ---
# ScSbSCl2

A relaxed structure of ScSbSCl2 (PBE, Alexandria).

Cell and atoms, written as extended XYZ:
```
5
Lattice="-5.0634 -0.3605 1.5079 1.5415 -0.6189 5.0282 -0.1650 5.2157 0.6926" Properties=species:S:1:pos:R:3 pbc="T T T"
Sc -1.8435 2.1182 3.6143
Sb 0.0000 0.0000 0.0000
S -0.0825 2.6079 0.3463
Cl 0.7707 -0.3094 2.5141
Cl -2.5317 -0.1802 0.7540
```

Results
- N(E_F) (states/eV/cell) = 6.60
- space-group type = P4/mmm (123)

=====

List of relative energies, unit eV/atom: one 0.000; two 0.744

=====

--- one ---
# SbSeS2Cl

A relaxed structure of SbSeS2Cl (PBE, Alexandria).

Cell and atoms, written as extended XYZ:
```
5
Lattice="-3.7224 -2.7540 2.1619 -2.0595 -0.8295 -4.6027 2.9065 -4.3361 -0.5191" Properties=species:S:1:pos:R:3 pbc="T T T"
Sb 0.0000 0.0000 0.0000
S -1.0298 -0.4147 -2.3013
S -1.8612 -1.3770 1.0810
Se -1.4377 -3.9597 -1.4799
Cl 1.4532 -2.1680 -0.2596
```

Results
- N(E_F) (states/eV/cell) = 2.58
- space-group type = P4/mmm (123)

=====

--- two ---
# SbSeS2Cl

A relaxed structure of SbSeS2Cl (PBE, Alexandria).

Cell and atoms, written as extended XYZ:
```
5
Lattice="4.9309 0.0000 0.0000 0.0000 4.9309 0.0000 0.0000 0.0000 4.7749" Properties=species:S:1:pos:R:3 pbc="T T T"
Sb 2.4654 2.4654 2.3875
S 0.0000 2.4654 0.0000
S 2.4654 0.0000 0.0000
Se 0.0000 0.0000 0.0000
Cl 0.0000 0.0000 2.3875
```

Results
- N(E_F) (states/eV/cell) = 3.01
- space-group type = P4/mmm (123)

=====

List of relative energies, unit eV/atom: one 0.066; two 0.000

=====

--- one ---
# TaSbSCl2

A relaxed structure of TaSbSCl2 (PBE, Alexandria).

Cell and atoms, written as extended XYZ:
```
5
Lattice="4.4501 0.0000 0.0000 0.0000 6.1986 0.0000 0.0000 0.0000 4.4501" Properties=species:S:1:pos:R:3 pbc="T T T"
Sb 0.0000 3.0993 0.0000
S 0.0000 0.0000 0.0000
Cl 0.0000 0.0000 2.2251
Cl 2.2251 0.0000 0.0000
Ta 2.2251 3.0993 2.2251
```

Results
- N(E_F) (states/eV/cell) = 3.50
- space-group type = P4/mmm (123)

=====

--- two ---
# TaSbSCl2

A relaxed structure of TaSbSCl2 (PBE, Alexandria).

Cell and atoms, written as extended XYZ:
```
5
Lattice="-2.9608 -3.2662 -2.7014 3.9984 -3.2457 -0.4580 -1.4650 -2.4493 4.5671" Properties=species:S:1:pos:R:3 pbc="T T T"
Sb 0.0000 0.0000 0.0000
S -0.7325 -1.2246 2.2836
Cl 1.9992 -1.6228 -0.2290
Cl -1.4804 -1.6331 -1.3507
Ta -0.2137 -4.4806 0.7039
```

Results
- N(E_F) (states/eV/cell) = 7.41
- space-group type = P4/mmm (123)

=====

--- three ---
# TaSbSCl2

A relaxed structure of TaSbSCl2 (PBE, Alexandria).

Cell and atoms, written as extended XYZ:
```
5
Lattice="4.8871 0.0000 0.0000 0.0000 4.8871 0.0000 0.0000 0.0000 4.9063" Properties=species:S:1:pos:R:3 pbc="T T T"
Sb 2.4436 2.4436 2.4531
S 0.0000 0.0000 2.4531
Cl 0.0000 2.4436 0.0000
Cl 2.4436 0.0000 0.0000
Ta 0.0000 0.0000 0.0000
```

Results
- N(E_F) (states/eV/cell) = 4.25
- space-group type = P4/mmm (123)

=====

List of relative energies, unit eV/atom: one 1.011; two 0.988; three 0.000

=====

--- one ---
# TcSbS2Cl

A relaxed structure of TcSbS2Cl (PBE, Alexandria).

Cell and atoms, written as extended XYZ:
```
5
Lattice="5.1368 0.0000 0.0000 0.0000 5.1368 0.0000 0.0000 0.0000 5.0565" Properties=species:S:1:pos:R:3 pbc="T T T"
Sb 0.0000 0.0000 0.0000
S 0.0000 2.5684 0.0000
S 2.5684 0.0000 0.0000
Tc 2.5684 2.5684 2.5283
Cl 0.0000 0.0000 2.5283
```

Results
- N(E_F) (states/eV/cell) = 2.88
- space-group type = P4/mmm (123)

=====

--- two ---
# TcSbS2Cl

A relaxed structure of TcSbS2Cl (PBE, Alexandria).

Cell and atoms, written as extended XYZ:
```
5
Lattice="4.6527 0.0000 0.0000 0.0000 4.6527 0.0000 0.0000 0.0000 4.8096" Properties=species:S:1:pos:R:3 pbc="T T T"
Sb 2.3263 2.3263 2.4048
S 0.0000 2.3263 0.0000
S 2.3263 0.0000 0.0000
Tc 0.0000 0.0000 0.0000
Cl 0.0000 0.0000 2.4048
```

Results
- N(E_F) (states/eV/cell) = 6.52
- space-group type = P4/mmm (123)

=====

List of relative energies, unit eV/atom: one 0.605; two 0.000

=====

--- one ---
# SbTeSCl2

A relaxed structure of SbTeSCl2 (PBE, Alexandria).

Cell and atoms, written as extended XYZ:
```
5
Lattice="5.3792 0.0000 0.0000 0.0000 5.3792 0.0000 0.0000 0.0000 5.1775" Properties=species:S:1:pos:R:3 pbc="T T T"
Sb 0.0000 0.0000 0.0000
S 0.0000 0.0000 2.5887
Te 2.6896 2.6896 2.5887
Cl 0.0000 2.6896 0.0000
Cl 2.6896 0.0000 0.0000
```

Results
- N(E_F) (states/eV/cell) = 2.06
- space-group type = P4/mmm (123)

=====

--- two ---
# SbTeSCl2

A relaxed structure of SbTeSCl2 (PBE, Alexandria).

Cell and atoms, written as extended XYZ:
```
5
Lattice="-2.2603 -4.7189 0.1816 1.0657 -0.3136 5.1163 -4.7656 2.3264 1.1352" Properties=species:S:1:pos:R:3 pbc="T T T"
Sb -2.9801 -1.3531 3.2165
S -2.3828 1.1632 0.5676
Te 0.0000 0.0000 0.0000
Cl 0.5328 -0.1568 2.5581
Cl -1.1302 -2.3595 0.0908
```

Results
- N(E_F) (states/eV/cell) = 2.54
- space-group type = P4/mmm (123)

=====

List of relative energies, unit eV/atom: one 0.000; two 0.222

=====

--- one ---
# TlSbS2Cl

A relaxed structure of TlSbS2Cl (PBE, Alexandria).

Cell and atoms, written as extended XYZ:
```
5
Lattice="5.1784 0.0000 0.0000 0.0000 5.1784 0.0000 0.0000 0.0000 5.0776" Properties=species:S:1:pos:R:3 pbc="T T T"
Sb 2.5892 2.5892 2.5388
Tl 0.0000 0.0000 0.0000
S 0.0000 2.5892 0.0000
S 2.5892 0.0000 0.0000
Cl 0.0000 0.0000 2.5388
```

Results
- N(E_F) (states/eV/cell) = 3.32
- space-group type = P4/mmm (123)

=====

--- two ---
# TlSbS2Cl

A relaxed structure of TlSbS2Cl (PBE, Alexandria).

Cell and atoms, written as extended XYZ:
```
5
Lattice="5.1045 0.0000 0.0000 0.0000 5.1045 0.0000 0.0000 0.0000 5.4363" Properties=species:S:1:pos:R:3 pbc="T T T"
Sb 0.0000 0.0000 0.0000
Tl 2.5523 2.5523 2.7182
S 0.0000 2.5523 0.0000
S 2.5523 0.0000 0.0000
Cl 0.0000 0.0000 2.7182
```

Results
- N(E_F) (states/eV/cell) = 2.40
- space-group type = P4/mmm (123)

=====

List of relative energies, unit eV/atom: one 0.671; two 0.000